# PBE-GGA CaNiRh2, optimized geometry
data_CaNiRh2
_chemical_formula_sum 'Ca2 Ni2 Rh4'
_space_group_name_H-M_alt 'C 1 2/m 1'
_space_group_IT_number 12
_cell_length_a 10.582
_cell_length_b 2.871
_cell_length_c 4.659
_cell_angle_alpha 90.00
_cell_angle_beta 115.95
_cell_angle_gamma 90.00
loop_
_space_group_symop_operation_xyz
'x,y,z'
'-x,-y,-z'
'-x,y,-z'
'x,-y,z'
'x+1/2,y+1/2,z'
'-x+1/2,-y+1/2,-z'
'-x+1/2,y+1/2,-z'
'x+1/2,-y+1/2,z'
loop_
_atom_site_label
_atom_site_type_symbol
_atom_site_fract_x
_atom_site_fract_y
_atom_site_fract_z
Ca1 Ca 0.000 0.000 0.000
Ni1 Ni 0.000 0.500 0.500
Rh1 Rh 0.221 0.000 0.721
# Energy relative to the elements ... 0.0035 eV/atom
# Energy relative to the lowest polymorph listed for this composition ... 0.0000 eV/atom

---

# PBE-GGA K2AgTeH, optimized geometry
data_K2AgTeH
_chemical_formula_sum 'K2 Ag1 Te1 H1'
_space_group_name_H-M_alt 'P 4/m m m'
_space_group_IT_number 123
_space_group_name_Hall '-P 4 2'
_cell_length_a 5.839
_cell_length_b 5.839
_cell_length_c 3.947
_cell_angle_alpha 90.00
_cell_angle_beta 90.00
_cell_angle_gamma 90.00
loop_
_atom_site_label
_atom_site_type_symbol
_atom_site_fract_x
_atom_site_fract_y
_atom_site_fract_z
K1 K 0.000 0.500 0.000
Ag1 Ag 0.000 0.000 0.500
Te1 Te 0.500 0.500 0.500
H1 H 0.000 0.000 0.000
# Calculated total energy ... -2.67 eV per atom

---

# PBE-GGA Tb3Nd2TmBi6, optimized geometry
data_Tb3Nd2TmBi6
_chemical_formula_sum 'Tb6 Nd4 Tm2 Bi12'
_space_group_name_H-M_alt 'C 1 2/m 1'
_space_group_IT_number 12
_cell_length_a 19.708
_cell_length_b 4.524
_cell_length_c 9.045
_cell_angle_alpha 90.00
_cell_angle_beta 103.25
_cell_angle_gamma 90.00
loop_
_space_group_symop_operation_xyz
'x,y,z'
'-x,-y,-z'
'-x,y,-z'
'x,-y,z'
'x+1/2,y+1/2,z'
'-x+1/2,-y+1/2,-z'
'-x+1/2,y+1/2,-z'
'x+1/2,-y+1/2,z'
loop_
_atom_site_label
_atom_site_type_symbol
_atom_site_fract_x
_atom_site_fract_y
_atom_site_fract_z
Tb1 Tb 0.000 0.000 0.000
Tb2 Tb 0.169 0.500 0.334
Nd1 Nd 0.166 0.500 0.832
Tm1 Tm 0.000 0.000 0.500
Bi1 Bi 0.003 0.500 0.255
Bi2 Bi 0.165 0.000 0.087
Bi3 Bi 0.165 0.000 0.577
# Energy relative to the elements ... -0.8819 eV/atom

---

# PBE-GGA Tb5Ho4In2, optimized geometry
data_Tb5Ho4In2
_chemical_formula_sum 'Tb10 Ho8 In4'
_space_group_name_H-M_alt 'C 1 2/m 1'
_space_group_IT_number 12
_cell_length_a 23.029
_cell_length_b 3.495
_cell_length_c 8.309
_cell_angle_alpha 90.00
_cell_angle_beta 95.22
_cell_angle_gamma 90.00
loop_
_space_group_symop_operation_xyz
'x,y,z'
'-x,-y,-z'
'-x,y,-z'
'x,-y,z'
'x+1/2,y+1/2,z'
'-x+1/2,-y+1/2,-z'
'-x+1/2,y+1/2,-z'
'x+1/2,-y+1/2,z'
loop_
_atom_site_label
_atom_site_type_symbol
_atom_site_fract_x
_atom_site_fract_y
_atom_site_fract_z
Tb1 Tb 0.000 0.000 0.000
Tb2 Tb 0.127 0.500 0.025
Tb3 Tb 0.181 0.500 0.481
Ho1 Ho 0.038 0.500 0.347
Ho2 Ho 0.229 0.000 0.826
In1 In 0.086 0.000 0.686
# Energy relative to the elements ... -0.0439 eV/atom

---

| no. | calculated volume (Å³/f.u.) | magnetization (μB per cell) |
| --- | --- | --- |
| 1 | 63.6 | 0.0 |
| 2 | 134.6 | 0.0 |
| 3 | 392.5 | 0.0 |
| 4 | 333.0 | 0.0 |